Entry 1:
Below is a crystal of CuBi2B relaxed with PBEsol, with properties calculated at the SCAN level.

Results
For the total energy, the calculation gives -354.3 eV per cell. The space group is I-42d, No. 122. The formation energy comes out at 0.66 eV/atom.

a = 6.7583 Å, b = 6.7583 Å, c = 6.7583 Å
α = 128.01°, β = 128.01°, γ = 76.60°
Atoms (fractional coordinates):
Cu  0.0000  0.0000  0.0000
Cu  0.7500  0.2500  0.5000
Bi  0.1563  0.1250  0.5313
Bi  0.3750  0.8437  0.9687
Bi  0.5937  0.6250  0.4687
Bi  0.8750  0.4063  0.0313
B  0.2500  0.7500  0.5000
B  0.5000  0.5000  0.0000

---

Entry 2:
Below is a crystal of CuBi3B relaxed with PBEsol, with properties calculated at the SCAN level.

Results
For the total energy, the calculation gives -252.7 eV per cell. The space group is Pm-3m, No. 221. The formation energy comes out at 1.12 eV/atom.

a = 4.9287 Å, b = 4.9287 Å, c = 4.9287 Å
α = 90.00°, β = 90.00°, γ = 90.00°
Atoms (fractional coordinates):
Cu  0.0000  0.0000  0.0000
Bi  0.0000  0.5000  0.5000
Bi  0.5000  0.0000  0.5000
Bi  0.5000  0.5000  0.0000
B  0.5000  0.5000  0.5000

---

Entry 3:
Below is a crystal of BiB2F relaxed with PBEsol, with properties calculated at the SCAN level.

Results
The formation energy without anion corrections is 325 meV per atom. For the total energy, the calculation gives -191.4 eV per cell. The space group is I4_1/amd, No. 141.

a = 10.4144 Å, b = 10.4144 Å, c = 10.4144 Å
α = 161.27°, β = 161.27°, γ = 26.60°
Atoms (fractional coordinates):
Bi  0.3750  0.6250  0.7500
Bi  0.6250  0.3750  0.2500
B  0.0000  0.0000  0.0000
B  0.0000  0.0000  0.5000
B  0.0000  0.5000  0.0000
B  0.5000  0.0000  0.5000
F  0.1250  0.8750  0.2500
F  0.8750  0.1250  0.7500

---

Entry 4:
Below is a crystal of BiBF3 relaxed with PBEsol, with properties calculated at the SCAN level.

Results
The formation energy without anion corrections is -474 meV per atom. For the total energy, the calculation gives -99.0 eV per cell. The space group is Pm-3m, No. 221.

a = 4.0004 Å, b = 4.0004 Å, c = 4.0004 Å
α = 90.00°, β = 90.00°, γ = 90.00°
Atoms (fractional coordinates):
Bi  0.0000  0.0000  0.0000
B  0.5000  0.5000  0.5000
F  0.0000  0.5000  0.5000
F  0.5000  0.0000  0.5000
F  0.5000  0.5000  0.0000